(A)
Material: SiH2Rh
Method: DFT, PBE
State: optimized geometry

Computed properties:
- Space group: No. 122

Cell: 6.769 6.769 6.769 Å, 150.18 150.18 42.68°
Element x y z (fractional)
Si: 0.000 0.000 0.000
Si: 0.750 0.250 0.500
H: 0.198 0.625 0.073
H: 0.375 0.448 0.573
H: 0.552 0.125 0.927
H: 0.875 0.802 0.427
Rh: 0.250 0.750 0.500
Rh: 0.500 0.500 0.000

***

(B)
Material: SiH2Rh
Method: DFT, PBE
State: optimized geometry

Computed properties:
- Space group: No. 225

Cell: 3.673 3.673 3.673 Å, 60.00 60.00 60.00°
Element x y z (fractional)
Si: 0.000 0.000 0.000
H: 0.250 0.250 0.250
H: 0.750 0.750 0.750
Rh: 0.500 0.500 0.500

***

Consider the structures shown above. The most stable of them is (A).